No. 1
{
  "formula": "ScPaNbCr",
  "functional": "PBE",
  "state": "relaxed",
  "lattice": [[0.0000, 3.3677, 3.3677], [3.3677, 0.0000, 3.3677], [3.3677, 3.3677, 0.0000]],
  "species": ["Sc", "Pa", "Nb", "Cr"],
  "fractional_positions": [[0.0000, 0.0000, 0.0000], [0.5000, 0.5000, 0.5000], [0.7500, 0.7500, 0.7500], [0.2500, 0.2500, 0.2500]],
  "final_energy_ev_per_cell": -34.75,
  "sg": "No. 216",
  "ef_ev_per_atom": 0.193
}

=====

No. 2
{
  "formula": "TaSnW3",
  "functional": "PBE",
  "state": "relaxed",
  "lattice": [[4.8063, 0.0000, 0.0000], [0.0000, 4.8063, 0.0000], [0.0000, 0.0000, 4.8063]],
  "species": ["Ta", "Sn", "W", "W", "W"],
  "fractional_positions": [[0.0000, 0.0000, 0.0000], [0.5000, 0.5000, 0.5000], [0.0000, 0.5000, 0.5000], [0.5000, 0.0000, 0.5000], [0.5000, 0.5000, 0.0000]],
  "relative_energy_ev_per_atom": 0.4724,
  "final_energy_ev_per_cell": -41.48,
  "sg": "No. 221",
  "ef_ev_per_atom": 2.646
}

=====

No. 3
{
  "formula": "Ag2HgS6",
  "functional": "PBE",
  "state": "relaxed",
  "lattice": [[4.5755, 0.0000, 0.0000], [-0.3517, 7.4988, 0.0000], [-0.2026, -3.7452, 6.5042]],
  "species": ["Ag", "Ag", "Hg", "S", "S", "S", "S", "S", "S"],
  "fractional_positions": [[0.0017, 0.2524, 0.2500], [0.9983, 0.7476, 0.7500], [0.5000, 0.0000, 0.5000], [0.0739, 0.7227, 0.2235], [0.1859, 0.1283, 0.8823], [0.1933, 0.3837, 0.6272], [0.8067, 0.6163, 0.3728], [0.8141, 0.8717, 0.1177], [0.9261, 0.2773, 0.7765]],
  "formation_energy_uncorrected_ev_per_atom": 0.102,
  "final_energy_ev_per_cell": -29.85,
  "sg": "No. 2"
}

=====

No. 4
{
  "formula": "BaHf2TaSb",
  "functional": "PBE",
  "state": "relaxed",
  "lattice": [[5.1544, 0.0000, 0.0000], [0.0000, 5.1544, 0.0000], [0.0000, 0.0000, 5.9865]],
  "species": ["Ba", "Hf", "Hf", "Ta", "Sb"],
  "fractional_positions": [[0.0000, 0.0000, 0.0000], [0.0000, 0.5000, 0.5000], [0.5000, 0.0000, 0.5000], [0.0000, 0.0000, 0.5000], [0.5000, 0.5000, 0.0000]],
  "formation_energy_uncorrected_ev_per_atom": 0.926,
  "final_energy_ev_per_cell": -33.18,
  "sg": "No. 123"
}

=====

No. 5
{
  "formula": "KAcZrS4",
  "functional": "PBE",
  "state": "relaxed",
  "lattice": [[3.5204, -7.6904, 0.0000], [3.5204, 7.6904, 0.0000], [0.0000, 0.0000, 7.0066]],
  "species": ["K", "K", "Ac", "Ac", "Zr", "Zr", "S", "S", "S", "S", "S", "S", "S", "S"],
  "fractional_positions": [[0.1069, 0.8931, 0.7500], [0.8931, 0.1069, 0.2500], [0.3877, 0.6123, 0.7500], [0.6123, 0.3877, 0.2500], [0.2430, 0.7570, 0.2500], [0.7570, 0.2430, 0.7500], [0.0000, 0.5000, 0.0000], [0.0000, 0.5000, 0.5000], [0.0856, 0.9144, 0.2500], [0.4254, 0.5746, 0.2500], [0.5000, 0.0000, 0.0000], [0.5000, 0.0000, 0.5000], [0.5746, 0.4254, 0.7500], [0.9144, 0.0856, 0.7500]],
  "formation_energy_uncorrected_ev_per_atom": -1.639,
  "final_energy_ev_per_cell": -83.48,
  "sg": "No. 63"
}

=====

No. 6
{
  "formula": "RbBeTlPd",
  "functional": "PBE",
  "state": "relaxed",
  "lattice": [[4.9907, 0.0000, 0.0000], [0.0000, 4.0268, 0.0000], [-1.5175, 0.0000, 6.0866]],
  "species": ["Rb", "Be", "Tl", "Pd"],
  "fractional_positions": [[0.0000, 0.0000, 0.0000], [0.1841, 0.5000, 0.5054], [0.6801, 0.5000, 0.4400], [0.3516, 0.0000, 0.5753]],
  "relative_energy_ev_per_atom": 0.1291,
  "final_energy_ev_per_cell": -11.66,
  "sg": "No. 6",
  "ef_ev_per_atom": 0.147
}